(1)
VASP calculation (PBE) on PrSm7Ho4 after structural relaxation.

Values from the calculation:
D(E_F) = 20.02 states/eV/f.u.

```
data_PrSm7Ho4
_chemical_formula_sum 'Pr2 Sm14 Ho8'
_symmetry_space_group_name_H-M 'C 1 2/m 1'
_symmetry_Int_Tables_number 12
_symmetry_space_group_name_Hall '-C 2y'
_cell_length_a 16.0885
_cell_length_b 5.9730
_cell_length_c 9.4174
_cell_angle_alpha 90.00
_cell_angle_beta 116.59
_cell_angle_gamma 90.00
loop_
_atom_site_label
_atom_site_type_symbol
_atom_site_fract_x
_atom_site_fract_y
_atom_site_fract_z
Pr1 Pr 0.0000 0.0000 0.0000
Sm1 Sm 0.0000 0.5000 0.0000
Sm2 Sm 0.0857 0.0000 0.4513
Sm3 Sm 0.2125 0.0000 0.2389
Sm4 Sm 0.2158 0.0000 0.8838
Ho1 Ho 0.0715 0.5000 0.6983
Ho2 Ho 0.1699 0.5000 0.3832
```


(2)
VASP calculation (PBE) on PrSm7Ho4 after structural relaxation.

Values from the calculation:
D(E_F) = 15.26 states/eV/f.u.

```
data_PrSm7Ho4
_chemical_formula_sum 'Pr1 Sm7 Ho4'
_symmetry_space_group_name_H-M 'P -1'
_symmetry_Int_Tables_number 2
_symmetry_space_group_name_Hall '-P 1'
_cell_length_a 6.2850
_cell_length_b 7.2582
_cell_length_c 8.9472
_cell_angle_alpha 90.02
_cell_angle_beta 103.53
_cell_angle_gamma 90.00
loop_
_atom_site_label
_atom_site_type_symbol
_atom_site_fract_x
_atom_site_fract_y
_atom_site_fract_z
Pr1 Pr 0.0000 0.0000 0.0000
Sm1 Sm 0.0000 0.5000 0.0000
Sm2 Sm 0.2228 0.0003 0.6652
Sm3 Sm 0.2798 0.7480 0.3361
Sm4 Sm 0.4999 0.2530 0.0011
Ho1 Ho 0.2194 0.5001 0.6650
Ho2 Ho 0.2785 0.2531 0.3348
```


The structure with the greatest stability is (2).


(1)
VASP calculation (PBE) on PrSm3Ho5 after structural relaxation.

Values from the calculation:
D(E_F) = 12.25 states/eV/f.u.

```
data_PrSm3Ho5
_chemical_formula_sum 'Pr4 Sm12 Ho20'
_symmetry_space_group_name_H-M 'C 1 2/m 1'
_symmetry_Int_Tables_number 12
_symmetry_space_group_name_Hall '-C 2y'
_cell_length_a 15.3050
_cell_length_b 11.3633
_cell_length_c 9.9625
_cell_angle_alpha 90.00
_cell_angle_beta 130.35
_cell_angle_gamma 90.00
loop_
_atom_site_label
_atom_site_type_symbol
_atom_site_fract_x
_atom_site_fract_y
_atom_site_fract_z
Pr1 Pr 0.2474 0.0000 0.4077
Sm1 Sm 0.0000 0.0000 0.0000
Sm2 Sm 0.0000 0.5000 0.5000
Sm3 Sm 0.0075 0.5000 0.8104
Sm4 Sm 0.0214 0.0000 0.3615
Ho1 Ho 0.0000 0.2588 0.0000
Ho2 Ho 0.1502 0.2492 0.7512
Ho3 Ho 0.2193 0.5000 0.2228
Ho4 Ho 0.2251 0.0000 0.0428
```


(2)
VASP calculation (PBE) on PrSm3Ho5 after structural relaxation.

Values from the calculation:
D(E_F) = 12.84 states/eV/f.u.

```
data_PrSm3Ho5
_chemical_formula_sum 'Pr4 Sm12 Ho20'
_symmetry_space_group_name_H-M 'C 1 2/c 1'
_symmetry_Int_Tables_number 15
_symmetry_space_group_name_Hall '-C 2yc'
_cell_length_a 20.2745
_cell_length_b 6.0835
_cell_length_c 11.4960
_cell_angle_alpha 90.00
_cell_angle_beta 121.70
_cell_angle_gamma 90.00
loop_
_atom_site_label
_atom_site_type_symbol
_atom_site_fract_x
_atom_site_fract_y
_atom_site_fract_z
Pr1 Pr 0.0000 0.1099 0.2500
Sm1 Sm 0.0000 0.0000 0.0000
Sm2 Sm 0.1842 0.2131 0.5398
Ho1 Ho 0.0000 0.4061 0.7500
Ho2 Ho 0.1404 0.3200 0.1392
Ho3 Ho 0.1793 0.2048 0.8381
```


The structure with the greatest stability is (2).


(1)
VASP calculation (PBE) on Pr5Sm4Ho after structural relaxation.

Values from the calculation:
D(E_F) = 14.44 states/eV/f.u.

```
data_Pr5Sm4Ho
_chemical_formula_sum 'Pr5 Sm4 Ho1'
_symmetry_space_group_name_H-M 'P -1'
_symmetry_Int_Tables_number 2
_symmetry_space_group_name_Hall '-P 1'
_cell_length_a 3.6614
_cell_length_b 9.6726
_cell_length_c 10.3834
_cell_angle_alpha 105.54
_cell_angle_beta 90.11
_cell_angle_gamma 100.88
loop_
_atom_site_label
_atom_site_type_symbol
_atom_site_fract_x
_atom_site_fract_y
_atom_site_fract_z
Pr1 Pr 0.0000 0.0000 0.0000
Pr2 Pr 0.1993 0.3999 0.0999
Pr3 Pr 0.4004 0.8019 0.6958
Sm1 Sm 0.2003 0.3991 0.6000
Sm2 Sm 0.4005 0.8005 0.2047
Ho1 Ho 0.0000 0.0000 0.5000
```


(2)
VASP calculation (PBE) on Pr5Sm4Ho after structural relaxation.

Values from the calculation:
D(E_F) = 14.93 states/eV/f.u.

```
data_Pr5Sm4Ho
_chemical_formula_sum 'Pr10 Sm8 Ho2'
_symmetry_space_group_name_H-M 'I 4 m m'
_symmetry_Int_Tables_number 107
_symmetry_space_group_name_Hall 'I 4 -2'
_cell_length_a 10.6100
_cell_length_b 10.6100
_cell_length_c 6.2725
_cell_angle_alpha 90.00
_cell_angle_beta 90.00
_cell_angle_gamma 90.00
loop_
_atom_site_label
_atom_site_type_symbol
_atom_site_fract_x
_atom_site_fract_y
_atom_site_fract_z
Pr1 Pr 0.0000 0.0000 0.0000
Pr2 Pr 0.1891 0.1891 0.7235
Sm1 Sm 0.0000 0.3251 0.2545
Ho1 Ho 0.0000 0.0000 0.4637
```


The structure with the greatest stability is (1).